(1)
{
  "formula": "Na2BeZnO4",
  "functional": "PBE",
  "state": "optimized geometry",
  "cell": [[-3.664, 3.933, -0.527], [-4.729, -0.835, -1.033], [-2.665, 1.728, 3.746]],
  "species": ["Na", "Na", "Be", "Zn", "O", "O", "O", "O"],
  "frac_coords": [[0.000, 0.500, 0.500], [0.500, 0.500, 0.500], [0.500, 0.000, 0.000], [0.000, 0.000, 0.000], [0.143, 0.286, 0.000], [0.857, 0.000, 0.714], [0.571, 0.000, 0.286], [0.429, 0.714, 0.000]],
  "mass_density_g_cm3": 3.37,
  "spacegroup": "I-42m",
  "e_form_raw_ev_per_atom": -1.3253,
  "vol_a3_per_atom": 11.4
}



(2)
{
  "formula": "CaSF",
  "functional": "PBE",
  "state": "optimized geometry",
  "cell": [[-3.778, 2.028, 4.089], [-1.424, -4.740, -3.258], [4.321, -6.135, 7.037]],
  "species": ["S", "S", "S", "S", "S", "S", "Ca", "Ca", "Ca", "Ca", "Ca", "Ca", "F", "F", "F", "F", "F", "F"],
  "frac_coords": [[0.000, 0.529, 0.750], [0.529, 0.000, 0.750], [0.471, 0.471, 0.750], [0.529, 0.000, 0.250], [0.000, 0.529, 0.250], [0.471, 0.471, 0.250], [0.000, 0.000, 0.750], [0.000, 0.000, 0.250], [0.333, 0.667, 0.000], [0.333, 0.667, 0.500], [0.667, 0.333, 0.000], [0.667, 0.333, 0.500], [0.000, 0.263, 0.000], [0.263, 0.000, 0.000], [0.737, 0.737, 0.000], [0.000, 0.263, 0.500], [0.263, 0.000, 0.500], [0.737, 0.737, 0.500]],
  "mass_density_g_cm3": 2.90,
  "spacegroup": "P-62m",
  "e_form_raw_ev_per_atom": -2.2710,
  "vol_a3_per_atom": 17.4
}



(3)
{
  "formula": "Hf2H2Pd",
  "functional": "PBE",
  "state": "optimized geometry",
  "cell": [[3.192, 0.000, 0.000], [0.000, 3.192, 0.000], [1.596, 1.596, 6.162]],
  "species": ["H", "H", "Hf", "Hf", "Pd"],
  "frac_coords": [[0.750, 0.250, 0.500], [0.250, 0.750, 0.500], [0.357, 0.357, 0.285], [0.643, 0.643, 0.715], [0.000, 0.000, 0.000]],
  "mass_density_g_cm3": 12.31,
  "spacegroup": "I4/mmm",
  "vol_a3_per_atom": 12.6,
  "dft_energy_ev_per_atom": -6.908
}



(4)
{
  "formula": "TbEuZnIr",
  "functional": "PBE",
  "state": "optimized geometry",
  "cell": [[-1.830, 4.655, 0.144], [-4.932, 0.762, -0.364], [-2.594, 1.546, 3.990]],
  "species": ["Eu", "Zn", "Ir", "Tb"],
  "frac_coords": [[0.750, 0.750, 0.750], [0.000, 0.000, 0.000], [0.500, 0.500, 0.500], [0.250, 0.250, 0.250]],
  "mass_density_g_cm3": 10.66,
  "spacegroup": "F-43m",
  "vol_a3_per_atom": 22.1,
  "formation_enthalpy_0k_ev_per_fu": -1.69
}